Cs2AlFeF6 | PBE+U | optimized geometry

```
data_Cs2AlFeF6
_chemical_formula_sum 'Cs2 Al1 Fe1 F6'
_space_group_name_H-M_alt 'P 1'
_space_group_IT_number 1
_space_group_name_Hall 'P 1'
_cell_length_a 6.240
_cell_length_b 6.240
_cell_length_c 6.240
_cell_angle_alpha 117.05
_cell_angle_beta 117.05
_cell_angle_gamma 95.18
loop_
_atom_site_label
_atom_site_fract_x
_atom_site_fract_y
_atom_site_fract_z
_atom_site_occupancy
Cs1 0.250 0.750 0.500 1
Cs2 0.750 0.250 0.500 1
Al1 0.000 0.000 0.000 1
Fe1 0.500 0.500 0.000 1
F1 0.200 0.200 0.399 1
F2 0.200 0.800 0.000 1
F3 0.225 0.225 0.000 1
F4 0.775 0.775 0.000 1
F5 0.800 0.200 0.000 1
F6 0.800 0.800 0.601 1
```

Summary:
As for the space-group type: No. 139. The volume comes out at 17.9 A^3/atom. Its total energy is -4.928 eV/atom.